{
  "formula": "CuAs3",
  "functional": "PBE",
  "state": "optimized geometry",
  "cell": [[3.9402, -5.9849, 0.0000], [3.9402, 5.9849, 0.0000], [0.0000, 0.0000, 3.5182]],
  "species": ["Cu", "Cu", "As", "As", "As", "As", "As", "As"],
  "fractional_positions": [[0.0781, 0.9219, 0.7500], [0.9219, 0.0781, 0.2500], [0.0958, 0.4360, 0.2500], [0.4132, 0.5868, 0.7500], [0.4360, 0.0958, 0.7500], [0.5640, 0.9042, 0.2500], [0.5868, 0.4132, 0.2500], [0.9042, 0.5640, 0.7500]],
  "crystal_system": "orthorhombic",
  "e_above_lowest_polymorph_mev_per_atom": 133,
  "space_group": "Cmcm (63)"
}

{
  "formula": "CuAs3",
  "functional": "PBE",
  "state": "optimized geometry",
  "cell": [[2.8243, 0.0000, 0.0000], [0.0000, 3.5647, 0.0000], [0.0000, 0.0000, 6.9633]],
  "species": ["Cu", "As", "As", "As"],
  "fractional_positions": [[0.0000, 0.0000, 0.0000], [0.0000, 0.0000, 0.5000], [0.5000, 0.5000, 0.2175], [0.5000, 0.5000, 0.7825]],
  "crystal_system": "orthorhombic",
  "e_above_lowest_polymorph_mev_per_atom": 209,
  "space_group": "Pmmm (47)"
}

{
  "formula": "CuAs2",
  "functional": "PBE",
  "state": "optimized geometry",
  "cell": [[7.1530, 0.0000, 0.0000], [-3.5765, 6.1947, 0.0000], [0.0000, 0.0000, 3.5708]],
  "species": ["Cu", "Cu", "Cu", "As", "As", "As", "As", "As", "As"],
  "fractional_positions": [[0.0000, 0.0000, 0.0000], [0.3333, 0.6667, 0.5000], [0.6667, 0.3333, 0.5000], [0.0000, 0.2799, 0.5000], [0.0000, 0.5402, 0.0000], [0.2799, 0.0000, 0.5000], [0.4598, 0.4598, 0.0000], [0.5402, 0.0000, 0.0000], [0.7201, 0.7201, 0.5000]],
  "crystal_system": "hexagonal",
  "space_group": "P-62m (189)"
}

{
  "formula": "CuAs2",
  "functional": "PBE",
  "state": "optimized geometry",
  "cell": [[-1.3822, 1.3822, 13.9522], [1.3822, -1.3822, 13.9522], [1.3822, 1.3822, -13.9522]],
  "species": ["Cu", "Cu", "As", "As", "As", "As"],
  "fractional_positions": [[0.3750, 0.6250, 0.7500], [0.6250, 0.3750, 0.2500], [0.0557, 0.8057, 0.2500], [0.1943, 0.9443, 0.2500], [0.8057, 0.0557, 0.7500], [0.9443, 0.1943, 0.7500]],
  "crystal_system": "tetragonal",
  "space_group": "I4_1/amd (141)"
}

{
  "formula": "CuAs2",
  "functional": "PBE",
  "state": "optimized geometry",
  "cell": [[-1.6407, 1.6407, 5.5277], [1.6407, -1.6407, 5.5277], [1.6407, 1.6407, -5.5277]],
  "species": ["Cu", "As", "As"],
  "fractional_positions": [[0.0000, 0.0000, 0.0000], [0.3872, 0.3872, 0.0000], [0.6128, 0.6128, 0.0000]],
  "crystal_system": "tetragonal",
  "space_group": "I4/mmm (139)"
}

{
  "formula": "CuAs3",
  "functional": "PBE",
  "state": "optimized geometry",
  "cell": [[4.7504, 0.0000, 0.0000], [0.0000, 4.7504, 0.0000], [0.0000, 0.0000, 4.7504]],
  "species": ["Cu", "As", "As", "As"],
  "fractional_positions": [[0.0000, 0.0000, 0.0000], [0.0000, 0.0000, 0.5000], [0.0000, 0.5000, 0.0000], [0.5000, 0.0000, 0.0000]],
  "crystal_system": "cubic",
  "e_above_lowest_polymorph_mev_per_atom": 679,
  "space_group": "Pm-3m (221)"
}

{
  "formula": "Cu2As3",
  "functional": "PBE",
  "state": "optimized geometry",
  "cell": [[4.0596, 0.0000, 0.0000], [-2.0298, 3.5157, 0.0000], [0.0000, 0.0000, 6.1280]],
  "species": ["Cu", "Cu", "As", "As", "As"],
  "fractional_positions": [[0.3333, 0.6667, 0.2900], [0.6667, 0.3333, 0.7100], [0.0000, 0.0000, 0.5000], [0.3333, 0.6667, 0.8569], [0.6667, 0.3333, 0.1431]],
  "crystal_system": "trigonal",
  "space_group": "P-3m1 (164)"
}

{
  "formula": "CuAs3",
  "functional": "PBE",
  "state": "optimized geometry",
  "cell": [[5.8667, 0.0000, 0.0000], [-2.9333, 5.0807, 0.0000], [0.0000, 0.0000, 9.5531]],
  "species": ["Cu", "Cu", "Cu", "Cu", "As", "As", "As", "As", "As", "As", "As", "As", "As", "As", "As", "As"],
  "fractional_positions": [[0.0000, 0.0000, 0.0000], [0.0000, 0.0000, 0.5000], [0.3333, 0.6667, 0.2500], [0.6667, 0.3333, 0.7500], [0.0000, 0.5000, 0.0000], [0.0000, 0.5000, 0.5000], [0.1522, 0.3043, 0.7500], [0.1522, 0.8478, 0.7500], [0.3043, 0.1522, 0.2500], [0.5000, 0.0000, 0.0000], [0.5000, 0.0000, 0.5000], [0.5000, 0.5000, 0.0000], [0.5000, 0.5000, 0.5000], [0.6957, 0.8478, 0.7500], [0.8478, 0.1522, 0.2500], [0.8478, 0.6957, 0.2500]],
  "crystal_system": "hexagonal",
  "e_above_lowest_polymorph_mev_per_atom": 288,
  "space_group": "P6_3/mmc (194)"
}

{
  "formula": "Cu2As3",
  "functional": "PBE",
  "state": "optimized geometry",
  "cell": [[1.8238, 1.0530, 7.4344], [-1.8238, 1.0530, 7.4344], [0.0000, -2.1060, 7.4344]],
  "species": ["Cu", "Cu", "As", "As", "As"],
  "fractional_positions": [[0.1047, 0.1047, 0.1047], [0.8953, 0.8953, 0.8953], [0.2975, 0.2975, 0.2975], [0.5000, 0.5000, 0.5000], [0.7025, 0.7025, 0.7025]],
  "crystal_system": "trigonal",
  "space_group": "R-3m (166)"
}

{
  "formula": "CuAs2",
  "functional": "PBE",
  "state": "optimized geometry",
  "cell": [[-3.1165, 3.1165, 2.6159], [3.1165, -3.1165, 2.6159], [3.1165, 3.1165, -2.6159]],
  "species": ["Cu", "Cu", "As", "As", "As", "As"],
  "fractional_positions": [[0.2500, 0.2500, 0.0000], [0.7500, 0.7500, 0.0000], [0.1438, 0.6438, 0.7876], [0.3562, 0.1438, 0.5000], [0.6438, 0.8562, 0.5000], [0.8562, 0.3562, 0.2124]],
  "crystal_system": "tetragonal",
  "space_group": "I4/mcm (140)"
}

{
  "formula": "Cu13As2",
  "functional": "PBE",
  "state": "optimized geometry",
  "cell": [[4.4984, 0.0000, 0.0000], [0.7507, 5.8432, 0.0000], [2.1390, 2.2060, 7.2361]],
  "species": ["Cu", "Cu", "Cu", "Cu", "Cu", "Cu", "Cu", "Cu", "Cu", "Cu", "Cu", "Cu", "Cu", "As", "As"],
  "fractional_positions": [[0.0000, 0.0000, 0.0000], [0.0588, 0.4015, 0.7459], [0.2073, 0.2000, 0.1952], [0.2644, 0.6020, 0.9362], [0.3227, 0.0013, 0.6706], [0.4134, 0.3950, 0.3904], [0.4772, 0.7985, 0.1253], [0.5228, 0.2015, 0.8747], [0.5866, 0.6050, 0.6096], [0.6773, 0.9987, 0.3294], [0.7356, 0.3980, 0.0638], [0.7927, 0.8000, 0.8048], [0.9412, 0.5985, 0.2541], [0.1546, 0.7792, 0.4549], [0.8454, 0.2208, 0.5451]],
  "crystal_system": "triclinic",
  "e_above_lowest_polymorph_mev_per_atom": 0,
  "space_group": "P-1 (2)"
}

{
  "formula": "Cu4As",
  "functional": "PBE",
  "state": "optimized geometry",
  "cell": [[-2.9354, 2.9354, 1.8825], [2.9354, -2.9354, 1.8825], [2.9354, 2.9354, -1.8825]],
  "species": ["Cu", "Cu", "Cu", "Cu", "As"],
  "fractional_positions": [[0.1043, 0.3074, 0.4118], [0.3074, 0.8957, 0.2031], [0.6926, 0.1043, 0.7969], [0.8957, 0.6926, 0.5882], [0.5000, 0.5000, 0.0000]],
  "crystal_system": "tetragonal",
  "e_above_lowest_polymorph_mev_per_atom": 0,
  "space_group": "I4/m (87)"
}

{
  "formula": "CuAs3",
  "functional": "PBE",
  "state": "optimized geometry",
  "cell": [[-1.8238, 1.8718, 5.3602], [1.8238, -1.8718, 5.3602], [1.8238, 1.8718, -5.3602]],
  "species": ["Cu", "As", "As", "As"],
  "fractional_positions": [[0.0000, 0.0000, 0.0000], [0.1859, 0.6859, 0.5000], [0.5000, 0.5000, 0.0000], [0.8141, 0.3141, 0.5000]],
  "crystal_system": "orthorhombic",
  "e_above_lowest_polymorph_mev_per_atom": 114,
  "space_group": "Immm (71)"
}

{
  "formula": "CuAs2",
  "functional": "PBE",
  "state": "optimized geometry",
  "cell": [[2.9124, 0.0000, 0.0000], [-1.4562, 2.5222, 0.0000], [0.0000, 0.0000, 7.4201]],
  "species": ["Cu", "As", "As"],
  "fractional_positions": [[0.0000, 0.0000, 0.0000], [0.3333, 0.6667, 0.2694], [0.6667, 0.3333, 0.7306]],
  "crystal_system": "trigonal",
  "space_group": "P-3m1 (164)"
}

{
  "formula": "CuAs2",
  "functional": "PBE",
  "state": "optimized geometry",
  "cell": [[5.9423, -1.3832, 0.0000], [5.9423, 1.3832, 0.0000], [-2.9476, 0.0000, 6.8943]],
  "species": ["Cu", "Cu", "As", "As", "As", "As"],
  "fractional_positions": [[0.0000, 0.0000, 0.0000], [0.6560, 0.6560, 0.2939], [0.2206, 0.2206, 0.6124], [0.2338, 0.2338, 0.0694], [0.4425, 0.4425, 0.6984], [0.9445, 0.9445, 0.2803]],
  "crystal_system": "monoclinic",
  "space_group": "Cm (8)"
}

{
  "formula": "Cu4As5",
  "functional": "PBE",
  "state": "optimized geometry",
  "cell": [[-4.3895, 4.3895, 1.9057], [4.3895, -4.3895, 1.9057], [4.3895, 4.3895, -1.9057]],
  "species": ["Cu", "Cu", "Cu", "Cu", "As", "As", "As", "As", "As"],
  "fractional_positions": [[0.0000, 0.3552, 0.3552], [0.0000, 0.6448, 0.6448], [0.3552, 0.0000, 0.3552], [0.6448, 0.0000, 0.6448], [0.0000, 0.0000, 0.0000], [0.3244, 0.3244, 0.6488], [0.3244, 0.6756, 0.0000], [0.6756, 0.3244, 0.0000], [0.6756, 0.6756, 0.3512]],
  "crystal_system": "tetragonal",
  "e_above_lowest_polymorph_mev_per_atom": 0,
  "space_group": "I4/mmm (139)"
}

{
  "formula": "CuAs3",
  "functional": "PBE",
  "state": "optimized geometry",
  "cell": [[1.5119, 0.8729, 8.9031], [-1.5119, 0.8729, 8.9031], [0.0000, -1.7458, 8.9031]],
  "species": ["Cu", "As", "As", "As"],
  "fractional_positions": [[0.0000, 0.0000, 0.0000], [0.2614, 0.2614, 0.2614], [0.5000, 0.5000, 0.5000], [0.7386, 0.7386, 0.7386]],
  "crystal_system": "trigonal",
  "e_above_lowest_polymorph_mev_per_atom": 200,
  "space_group": "R-3m (166)"
}

{
  "formula": "Cu4As",
  "functional": "PBE",
  "state": "optimized geometry",
  "cell": [[-1.6892, 1.6892, 6.2498], [1.6892, -1.6892, 6.2498], [1.6892, 1.6892, -6.2498]],
  "species": ["Cu", "Cu", "Cu", "Cu", "As"],
  "fractional_positions": [[0.0988, 0.0988, 0.0000], [0.2500, 0.7500, 0.5000], [0.7500, 0.2500, 0.5000], [0.9012, 0.9012, 0.0000], [0.5000, 0.5000, 0.0000]],
  "crystal_system": "tetragonal",
  "e_above_lowest_polymorph_mev_per_atom": 228,
  "space_group": "I4/mmm (139)"
}

{
  "formula": "Cu4As",
  "functional": "PBE",
  "state": "optimized geometry",
  "cell": [[4.4647, 0.0000, 0.0000], [0.0000, 4.4647, 0.0000], [0.0000, 0.0000, 4.4647]],
  "species": ["Cu", "Cu", "Cu", "Cu", "As"],
  "fractional_positions": [[0.0000, 0.0000, 0.0000], [0.0000, 0.5000, 0.5000], [0.5000, 0.0000, 0.5000], [0.5000, 0.5000, 0.0000], [0.5000, 0.5000, 0.5000]],
  "crystal_system": "cubic",
  "e_above_lowest_polymorph_mev_per_atom": 536,
  "space_group": "Pm-3m (221)"
}

{
  "formula": "CuAs2",
  "functional": "PBE",
  "state": "optimized geometry",
  "cell": [[1.7856, -8.4014, 0.0000], [1.7856, 8.4014, 0.0000], [0.0000, 0.0000, 3.5766]],
  "species": ["Cu", "Cu", "As", "As", "As", "As"],
  "fractional_positions": [[0.1041, 0.8959, 0.7500], [0.8959, 0.1041, 0.2500], [0.2811, 0.7189, 0.2500], [0.4438, 0.5562, 0.7500], [0.5562, 0.4438, 0.2500], [0.7189, 0.2811, 0.7500]],
  "crystal_system": "orthorhombic",
  "space_group": "Cmcm (63)"
}

Number 1: formation energy from the elements 0.278 eV per atom. Number 2: formation energy from the elements 0.354 eV per atom. Number 3: formation energy from the elements 0.232 eV per atom. Number 4: formation energy from the elements 0.223 eV per atom. Number 5: formation energy from the elements 0.271 eV per atom. Number 6: formation energy from the elements 0.824 eV per atom. Number 7: formation energy from the elements 0.164 eV per atom. Number 8: formation energy from the elements 0.433 eV per atom. Number 9: formation energy from the elements 0.151 eV per atom. Number 10: formation energy from the elements 0.225 eV per atom. Number 11: formation energy from the elements 0.030 eV per atom. Number 12: formation energy from the elements 0.040 eV per atom. Number 13: formation energy from the elements 0.259 eV per atom. Number 14: formation energy from the elements 0.252 eV per atom. Number 15: formation energy from the elements 0.198 eV per atom. Number 16: formation energy from the elements 0.310 eV per atom. Number 17: formation energy from the elements 0.345 eV per atom. Number 18: formation energy from the elements 0.268 eV per atom. Number 19: formation energy from the elements 0.577 eV per atom. Number 20: formation energy from the elements 0.277 eV per atom.